! AlP2 SCAN single point on PBEsol structure; values from VASP
! Size of the total moment in μB/cell: 0.0
! E_form in eV/atom: 0.64
! Space group: Fd-3m (227)
! Total energy in hartree per atom: -0.32614
&SYSTEM
  ibrav = 0, nat = 6, ntyp = 2
/
ATOMIC_SPECIES
P 30.97 P.upf
Al 26.98 Al.upf
CELL_PARAMETERS angstrom
5.057 0.000 0.000
2.528 4.379 0.000
2.528 1.460 4.129
ATOMIC_POSITIONS crystal
P 0.125 0.125 0.125
Al 0.500 0.500 0.500
P 0.125 0.125 0.625
P 0.625 0.125 0.125
Al 0.750 0.750 0.750
P 0.125 0.625 0.125

***

! CoTcOs2 SCAN single point on PBEsol structure; values from VASP
! Size of the total moment in μB/cell: 2.5
! Distance to the lowest polymorph of the same formula in eV per atom: 0.278
! E_form in eV/atom: 0.43
! Space group: Pmmm (47)
! Total energy in hartree per atom: -1.78603
&SYSTEM
  ibrav = 0, nat = 4, ntyp = 3
/
ATOMIC_SPECIES
Co 58.93 Co.upf
Os 190.23 Os.upf
Tc 98.00 Tc.upf
CELL_PARAMETERS angstrom
2.749 0.000 0.000
0.000 4.401 0.000
0.000 0.000 4.446
ATOMIC_POSITIONS crystal
Co 0.000 0.500 0.500
Os 0.500 0.000 0.500
Os 0.000 0.000 0.000
Tc 0.500 0.500 0.000

***

! InI2O SCAN single point on PBEsol structure; values from VASP
! Size of the total moment in μB/cell: 0.0
! Space group: I-42d (122)
! Total energy in hartree per atom: -1.03492
&SYSTEM
  ibrav = 0, nat = 8, ntyp = 3
/
ATOMIC_SPECIES
I 126.90 I.upf
O 16.00 O.upf
In 114.82 In.upf
CELL_PARAMETERS angstrom
6.735 0.000 0.000
-3.367 6.966 -0.011
0.000 3.265 5.890
ATOMIC_POSITIONS crystal
I 0.875 0.250 0.325
I 0.425 0.750 0.875
I 0.325 0.750 0.375
O 0.250 0.500 0.250
I 0.375 0.250 0.425
In 0.000 0.000 0.000
O 0.500 0.000 0.500
In 0.750 0.500 0.750

***

! FeB2RhCl SCAN single point on PBEsol structure; values from VASP
! Size of the total moment in μB/cell: 3.5
! Space group: P4/mmm (123)
! Total energy in hartree per atom: -0.51254
&SYSTEM
  ibrav = 0, nat = 5, ntyp = 4
/
ATOMIC_SPECIES
Cl 35.45 Cl.upf
Rh 102.91 Rh.upf
B 10.81 B.upf
Fe 55.84 Fe.upf
CELL_PARAMETERS angstrom
3.910 0.000 0.000
0.000 3.910 0.000
0.000 0.000 5.111
ATOMIC_POSITIONS crystal
Cl 0.000 0.000 0.500
Rh 0.000 0.000 0.000
B 0.000 0.500 0.000
B 0.500 0.000 0.000
Fe 0.500 0.500 0.500

***

! AlZn2Os SCAN single point on PBEsol structure; values from VASP
! Size of the total moment in μB/cell: 0.0
! E_form in eV/atom: -0.01
! Space group: P4/mmm (123)
! Total energy in hartree per atom: -0.98018
&SYSTEM
  ibrav = 0, nat = 4, ntyp = 3
/
ATOMIC_SPECIES
Zn 65.41 Zn.upf
Os 190.23 Os.upf
Al 26.98 Al.upf
CELL_PARAMETERS angstrom
-1.156 1.507 -2.689
-0.696 -2.926 -1.340
-4.703 0.154 2.108
ATOMIC_POSITIONS crystal
Zn 0.000 0.000 0.743
Zn 0.000 0.000 0.257
Os 0.500 0.500 0.500
Al 0.500 0.500 0.000

***

! TaMn2Cr SCAN single point on PBEsol structure; values from VASP
! Size of the total moment in μB/cell: 0.0
! E_form in eV/atom: 0.14
! Space group: P2/m (10)
! Total energy in hartree per atom: -1.11076
&SYSTEM
  ibrav = 0, nat = 4, ntyp = 3
/
ATOMIC_SPECIES
Mn 54.94 Mn.upf
Ta 180.95 Ta.upf
Cr 52.00 Cr.upf
CELL_PARAMETERS angstrom
-0.022 0.185 -2.628
3.317 -1.933 -0.163
-2.477 -4.309 0.683
ATOMIC_POSITIONS crystal
Mn 0.227 0.000 0.284
Ta 0.500 0.500 0.000
Mn 0.773 0.000 0.716
Cr 0.000 0.500 0.500

***

! Zr2TaCl SCAN single point on PBEsol structure; values from VASP
! Size of the total moment in μB/cell: 0.0
! Distance to the lowest polymorph of the same formula in eV per atom: 0.075
! Space group: Cmmm (65)
! Total energy in hartree per atom: -1.24742
&SYSTEM
  ibrav = 0, nat = 4, ntyp = 3
/
ATOMIC_SPECIES
Zr 91.22 Zr.upf
Cl 35.45 Cl.upf
Ta 180.95 Ta.upf
CELL_PARAMETERS angstrom
-1.513 1.064 -2.515
-4.179 -2.278 1.551
-0.419 4.498 2.155
ATOMIC_POSITIONS crystal
Zr 0.000 0.000 0.500
Cl 0.500 0.000 0.000
Zr 0.000 0.500 0.000
Ta 0.500 0.500 0.500

***

! SbMoPb2 SCAN single point on PBEsol structure; values from VASP
! Size of the total moment in μB/cell: 2.9
! Space group: I-4m2 (119)
! Total energy in hartree per atom: -2.03022
&SYSTEM
  ibrav = 0, nat = 4, ntyp = 3
/
ATOMIC_SPECIES
Mo 95.94 Mo.upf
Pb 207.20 Pb.upf
Sb 121.76 Sb.upf
CELL_PARAMETERS angstrom
-3.740 -3.031 -0.034
2.838 0.270 4.502
-2.970 3.675 -0.922
ATOMIC_POSITIONS crystal
Mo 0.250 0.500 0.750
Pb 0.750 0.500 0.250
Pb 0.000 0.000 0.000
Sb 0.500 0.000 0.500